The following is a GGA+U calculation of a relaxed Pm2MnSnO6 crystal, from Alexandria.

The calculation puts the density at 6.933 g/cm³. The total energy comes out at -7.635 eV/atom. The density of states at the Fermi level comes out at 0.000 states/eV/atom. As for the total magnetization: 5.00 μB per formula unit.

Cell lengths 5.589, 5.887, 9.831 Å; angles 90.00, 124.03, 90.00 degrees
Space group P2_1/c (No. 14)
Inequivalent atoms, fractional coordinates:
Pm 0.227 0.062 0.248 [4 per cell]
Mn 0.000 0.000 0.500 [2 per cell]
Sn 0.500 0.000 0.000 [2 per cell]
O 0.140 0.191 0.940 [4 per cell]
O 0.244 0.705 0.931 [4 per cell]
O 0.382 0.052 0.758 [4 per cell]